Below is Ta2CrPt at its PBEsol-relaxed geometry, with properties calculated at the meta-GGA SCAN level.

energy of formation = -0.398 eV/atom
DOS(E_F) = 2.78 states/eV/cell
space-group type = I4/mmm, No. 139
total energy = -223.3 eV per formula unit

a b c (Å): 3.9441 3.9441 4.8850
angles (deg): 113.81 113.81 90.00
Atoms (fractional coordinates):
Cr  0.5000  0.5000  0.0000
Pt  0.0000  0.0000  0.0000
Ta  0.7500  0.2500  0.5000
Ta  0.2500  0.7500  0.5000


Below is NbPH2 at its PBEsol-relaxed geometry, with properties calculated at the meta-GGA SCAN level.

DOS(E_F) = 2.72 states/eV/cell
space-group type = I-42d, No. 122
total energy = -48.5 eV per formula unit

a b c (Å): 4.4551 4.4551 5.1153
angles (deg): 115.82 115.82 90.00
Atoms (fractional coordinates):
P  0.7500  0.2500  0.5000
P  0.5000  0.5000  0.0000
Nb  0.2500  0.7500  0.5000
Nb  0.0000  0.0000  0.0000
H  0.3595  0.8750  0.2500
H  0.8905  0.3750  0.2500
H  0.1250  0.1095  0.7500
H  0.6250  0.6405  0.7500


Below is LaFeMo at its PBEsol-relaxed geometry, with properties calculated at the meta-GGA SCAN level.

energy of formation = 0.427 eV/atom
DOS(E_F) = 2.72 states/eV/cell
polymorph energy (0 for the lowest one) = 0.00 eV per formula unit
space-group type = P3m1, No. 156
total energy = -94.8 eV per formula unit

a b c (Å): 3.9130 3.9130 4.6653
angles (deg): 90.00 90.00 120.00
Atoms (fractional coordinates):
Fe  0.0000  0.0000  0.1337
La  0.3333  0.6667  0.6733
Mo  0.6667  0.3333  0.1930


Below is IrRuPt2 at its PBEsol-relaxed geometry, with properties calculated at the meta-GGA SCAN level.

energy of formation = 0.357 eV/atom
DOS(E_F) = 3.28 states/eV/cell
polymorph energy (0 for the lowest one) = 1.62 eV per formula unit
space-group type = F-43m, No. 216
total energy = -244.9 eV per formula unit

a b c (Å): 4.3744 4.3744 4.3744
angles (deg): 60.00 60.00 60.00
Atoms (fractional coordinates):
Ir  0.5000  0.5000  0.5000
Pt  0.0000  0.0000  0.0000
Pt  0.7500  0.7500  0.7500
Ru  0.2500  0.2500  0.2500


Below is NaNb2H at its PBEsol-relaxed geometry, with properties calculated at the meta-GGA SCAN level.

DOS(E_F) = 6.20 states/eV/cell
space-group type = Fd-3m, No. 227
total energy = -71.5 eV per formula unit

a b c (Å): 5.8909 5.8909 5.8909
angles (deg): 60.00 60.00 60.00
Atoms (fractional coordinates):
Na  0.7500  0.7500  0.7500
Na  0.5000  0.5000  0.5000
Nb  0.1250  0.1250  0.6250
Nb  0.1250  0.1250  0.1250
Nb  0.6250  0.1250  0.1250
Nb  0.1250  0.6250  0.1250
H  0.2500  0.2500  0.2500
H  0.0000  0.0000  0.0000


Below is Li2TiOs at its PBEsol-relaxed geometry, with properties calculated at the meta-GGA SCAN level.

energy of formation = 0.321 eV/atom
DOS(E_F) = 2.24 states/eV/cell
space-group type = Fm-3m, No. 225
total energy = -91.4 eV per formula unit

a b c (Å): 4.1475 4.1475 4.1475
angles (deg): 60.00 60.00 60.00
Atoms (fractional coordinates):
Li  0.2500  0.2500  0.2500
Li  0.7500  0.7500  0.7500
Os  0.5000  0.5000  0.5000
Ti  0.0000  0.0000  0.0000


Below is ZrTaSn2As at its PBEsol-relaxed geometry, with properties calculated at the meta-GGA SCAN level.

energy of formation = 0.607 eV/atom
DOS(E_F) = 3.39 states/eV/cell
space-group type = P4/mmm, No. 123
total energy = -186.3 eV per formula unit

a b c (Å): 4.7822 5.2616 5.2616
angles (deg): 90.00 90.00 90.00
Atoms (fractional coordinates):
As  0.5000  0.0000  0.0000
Sn  0.0000  0.0000  0.5000
Sn  0.0000  0.5000  0.0000
Zr  0.5000  0.5000  0.5000
Ta  0.0000  0.0000  0.0000


Below is IrOsOF2 at its PBEsol-relaxed geometry, with properties calculated at the meta-GGA SCAN level.

DOS(E_F) = 2.91 states/eV/cell
space-group type = P4/mmm, No. 123
total energy = -154.4 eV per formula unit

a b c (Å): 3.6691 4.2521 4.2521
angles (deg): 90.00 90.00 90.00
Atoms (fractional coordinates):
Ir  0.5000  0.5000  0.5000
Os  0.0000  0.0000  0.0000
O  0.5000  0.0000  0.0000
F  0.0000  0.0000  0.5000
F  0.0000  0.5000  0.0000


Below is ScAgPt2 at its PBEsol-relaxed geometry, with properties calculated at the meta-GGA SCAN level.

energy of formation = -0.189 eV/atom
DOS(E_F) = 2.96 states/eV/cell
space-group type = R3m, No. 160
total energy = -186.7 eV per formula unit

a b c (Å): 2.8553 2.8553 9.3910
angles (deg): 81.26 81.26 60.00
Atoms (fractional coordinates):
Ag  0.2509  0.2509  0.2472
Pt  0.0008  0.0008  0.9976
Pt  0.7518  0.7518  0.7445
Sc  0.4964  0.4964  0.5107


Below is CoIr3 at its PBEsol-relaxed geometry, with properties calculated at the meta-GGA SCAN level.

energy of formation = 0.020 eV/atom
DOS(E_F) = 3.28 states/eV/cell
space-group type = R-3m, No. 166
total energy = -230.5 eV per formula unit

a b c (Å): 2.6785 2.6785 8.6848
angles (deg): 81.13 81.13 60.00
Atoms (fractional coordinates):
Ir  0.2538  0.2538  0.2386
Ir  0.5000  0.5000  0.5000
Ir  0.7462  0.7462  0.7614
Co  0.0000  0.0000  0.0000


Below is LaMgPt2 at its PBEsol-relaxed geometry, with properties calculated at the meta-GGA SCAN level.

energy of formation = -1.086 eV/atom
DOS(E_F) = 1.47 states/eV/cell
space-group type = Amm2, No. 38
total energy = -192.8 eV per formula unit

a b c (Å): 3.7888 4.2916 5.5265
angles (deg): 90.00 110.05 90.00
Atoms (fractional coordinates):
Mg  0.7643  0.5000  0.5285
Pt  0.2108  0.0000  0.4217
Pt  0.0442  0.5000  0.0885
La  0.4778  0.0000  0.9555


Below is ScZnGa2Cu at its PBEsol-relaxed geometry, with properties calculated at the meta-GGA SCAN level.

energy of formation = 0.451 eV/atom
DOS(E_F) = 3.30 states/eV/cell
space-group type = P4/mmm, No. 123
total energy = -73.4 eV per formula unit

a b c (Å): 4.5172 4.5172 4.9901
angles (deg): 90.00 90.00 90.00
Atoms (fractional coordinates):
Sc  0.0000  0.0000  0.5000
Zn  0.0000  0.0000  0.0000
Cu  0.5000  0.5000  0.5000
Ga  0.0000  0.5000  0.0000
Ga  0.5000  0.0000  0.0000